[1]
# YGa2Ag2

A geometry-optimized YGa2Ag2 structure (PBE, Alexandria via LeMat-Bulk). Values from VASP.

Geometry as Quantum ESPRESSO input:
```
&SYSTEM
  ibrav = 0, nat = 10, ntyp = 3
/
ATOMIC_SPECIES
Ag 107.87 Ag.upf
Y 88.91 Y.upf
Ga 69.72 Ga.upf
CELL_PARAMETERS angstrom
7.958 0.000 0.000
0.000 7.958 0.000
0.000 0.000 3.138
ATOMIC_POSITIONS crystal
Ag 0.161 0.661 0.500
Ag 0.661 0.839 0.500
Ag 0.839 0.339 0.500
Ag 0.339 0.161 0.500
Y 0.000 0.000 0.000
Y 0.500 0.500 0.000
Ga 0.134 0.366 0.000
Ga 0.634 0.134 0.000
Ga 0.866 0.634 0.000
Ga 0.366 0.866 0.000
```

Calculated values
- Crystal system: tetragonal
- Energy relative to the elements: -13.8 kJ per mole of atoms
- Total moment: 0.48 μB/f.u.

***

[2]
# CsZrBeI2

A geometry-optimized CsZrBeI2 structure (PBE, Alexandria via LeMat-Bulk). Values from VASP.

Geometry as Quantum ESPRESSO input:
```
&SYSTEM
  ibrav = 0, nat = 5, ntyp = 4
/
ATOMIC_SPECIES
Zr 91.22 Zr.upf
I 126.90 I.upf
Cs 132.91 Cs.upf
Be 9.01 Be.upf
CELL_PARAMETERS angstrom
5.839 0.000 0.000
0.000 5.208 0.000
0.000 0.000 5.839
ATOMIC_POSITIONS crystal
Zr 0.000 0.000 0.000
I 0.500 0.000 0.000
I 0.000 0.000 0.500
Cs 0.500 0.500 0.500
Be 0.000 0.500 0.000
```

Calculated values
- Crystal system: tetragonal
- Formation energy from raw total energies: -129 meV per atom
- Total moment: 0.00 μB/f.u.